The following is a DFT calculation (PBE+U) of K2CoNiO4 after structural relaxation.

The structure belongs to space group Fddd (No. 70, origin choice 2); the cell edges are 5.0088, 11.6322 and 19.6086 Å and the angles 90.00°, 90.00° and 90.00°. The inequivalent atoms are K at (0.1250, 0.1250, 0.3010), Co at (0.1250, 0.1250, 0.6250), Ni at (0.1250, 0.1250, 0.1250) and O at (0.1092, 0.2848, 0.8279).

Its total energy is -37.94 eV per formula unit.